[1]
Dy3PtCl3 | PBE-GGA | optimized geometry

Cell: 11.182 11.182 11.182 Å, 35.05 35.05 35.05°
Fractional coordinates of all 14 atoms:
1 Dy 0.107 0.447 0.786
2 Dy 0.214 0.893 0.553
3 Dy 0.447 0.786 0.107
4 Dy 0.553 0.214 0.893
5 Dy 0.786 0.107 0.447
6 Dy 0.893 0.553 0.214
7 Pt 0.167 0.167 0.167
8 Pt 0.833 0.833 0.833
9 Cl 0.064 0.720 0.392
10 Cl 0.280 0.608 0.936
11 Cl 0.392 0.064 0.720
12 Cl 0.608 0.936 0.280
13 Cl 0.720 0.392 0.064
14 Cl 0.936 0.280 0.608

## Properties
Energy in eV/f.u.: -36.86

---

[2]
Dy4PtS2Cl | PBE-GGA | optimized geometry

Cell: 6.941 3.844 7.076 Å, 90.00 108.01 90.00°
Fractional coordinates of all 8 atoms:
1 Dy 0.232 0.000 0.231
2 Dy 0.239 0.500 0.751
3 Dy 0.761 0.500 0.249
4 Dy 0.768 0.000 0.769
5 Pt 0.000 0.000 0.500
6 S 0.000 0.500 0.000
7 S 0.500 0.000 0.000
8 Cl 0.500 0.500 0.500

## Properties
Energy in eV/f.u.: -47.46